Entry 1:
DFT (PBE-GGA) results for crystalline SrPmI2 at its relaxed geometry.

```
SrPmI2
1.0
4.124 0.000 0.000
2.062 3.571 0.000
2.062 1.190 11.281
I Sr Pm
2 1 1
Cartesian
2.062 1.190 7.806
6.186 3.571 3.474
0.000 0.000 0.000
4.124 2.381 5.640
```

total moment = 0.00 μB/f.u.
formation energy without anion corrections = -3.63 eV/f.u.

Entry 2:
DFT (PBE-GGA) results for crystalline La4ErZn at its relaxed geometry.

```
La4ErZn
1.0
-2.723 -1.387 2.127
-0.358 -2.878 -2.335
9.497 -7.226 7.449
La Er Zn
4 1 1
Cartesian
6.275 -8.079 6.026
3.470 -2.640 2.722
0.140 -3.412 1.215
2.946 -8.851 4.519
0.000 0.000 0.000
3.208 -5.745 3.620
```

final energy = -4.35 eV per atom
total moment = 0.00 μB/f.u.

Entry 3:
DFT (PBE-GGA) results for crystalline Pm2InPd2 at its relaxed geometry.

```
Pm2InPd2
1.0
3.844 0.000 0.000
0.000 7.847 0.000
0.000 0.000 7.847
Pd Pm In
4 4 2
Cartesian
0.000 1.000 2.923
0.000 4.923 1.000
0.000 2.923 6.846
0.000 6.846 4.923
1.922 2.548 1.375
1.922 6.471 2.548
1.922 5.299 6.471
1.922 1.375 5.299
0.000 0.000 0.000
0.000 3.923 3.923
```

final energy = -5.35 eV per atom
total moment = 0.00 μB/f.u.

Entry 4:
DFT (PBE-GGA) results for crystalline MgTc2B6 at its relaxed geometry.

```
MgTc2B6
1.0
3.331 0.000 0.000
0.000 4.526 -2.613
0.000 0.000 5.227
B Mg Tc
6 1 2
Cartesian
1.666 3.012 1.739
1.666 1.514 0.874
1.666 0.000 3.478
1.666 3.012 3.488
1.666 4.526 -0.865
1.666 1.514 -0.874
0.000 0.000 5.227
0.000 1.509 2.613
3.331 3.018 0.000
```

final energy = -7.11 eV per atom
total moment = 0.00 μB/f.u.

Entry 5:
DFT (PBE-GGA) results for crystalline Dy2YPb at its relaxed geometry.

```
Dy2YPb
1.0
3.540 0.000 0.000
1.770 3.065 0.000
1.770 1.022 12.033
Dy Pb Y
2 1 1
Cartesian
5.309 3.065 3.172
1.770 1.022 8.860
0.000 0.000 0.000
3.540 2.044 6.016
```

total moment = 0.00 μB/f.u.
polymorph energy (0 for the lowest one) = 329 meV/atom

Entry 6:
DFT (PBE-GGA) results for crystalline Ac5Al2Sn4 at its relaxed geometry.

```
Ac5Al2Sn4
1.0
-4.302 -0.083 1.597
-2.597 -3.579 -7.178
5.836 -6.731 8.777
Ac Al Sn
5 2 4
Cartesian
-1.316 -6.847 2.695
0.067 -5.338 6.499
-1.129 -5.055 -3.303
-2.151 -0.041 0.799
0.254 -3.545 0.501
1.641 -7.449 4.034
-2.703 -2.943 -0.838
-2.434 -5.582 -0.252
-0.278 -8.931 5.382
-0.784 -1.461 -2.186
1.373 -4.811 3.448
```

final energy = -4.34 eV per atom
total moment = 0.00 μB/f.u.